[1]
Density functional theory data (meta-GGA SCAN) for a PBEsol-optimized structure of Re3MoPt.

```
5
Lattice="-4.540 -0.660 0.515 0.620 -4.559 -0.375 0.563 -0.299 4.573" Properties=species:S:1:pos:R:3 pbc="T T T"
Re 0.310 -2.280 -0.187
Re 0.281 -0.150 2.286
Re -2.270 -0.330 0.258
Mo -1.679 -2.759 2.357
Pt 0.000 0.000 0.000
```

## Properties
Crystal system = cubic
Space group = Pm-3m, No. 221
ΔE_f = 2.68 eV/atom

[2]
Density functional theory data (meta-GGA SCAN) for a PBEsol-optimized structure of K2Mo4O13.

```
38
Lattice="-6.129 -4.277 -2.953 3.600 -4.274 6.185 -4.498 7.976 4.124" Properties=species:S:1:pos:R:3 pbc="T T T"
K -3.686 -3.078 4.443
K -3.342 2.502 2.912
K -4.762 -1.479 0.720
K -2.265 0.904 6.635
Mo -3.395 -5.254 0.932
Mo -3.632 4.679 6.423
Mo -2.096 -6.945 3.421
Mo -4.931 6.369 3.934
Mo -5.849 -0.097 4.455
Mo -1.178 -0.479 2.900
Mo -7.197 1.483 1.891
Mo 0.169 -2.059 5.465
O -4.941 0.827 7.842
O -2.086 -1.403 -0.487
O -6.686 -0.727 6.163
O -0.341 0.152 1.192
O -6.017 -1.619 3.684
O -1.011 1.044 3.671
O -6.315 1.761 5.717
O -0.712 -2.336 1.639
O -3.386 -3.796 1.811
O -3.641 3.221 5.544
O -7.210 0.036 0.951
O 0.182 -0.611 6.405
O -5.646 1.066 2.981
O -1.381 -1.641 4.374
O 2.035 -2.315 5.383
O -9.062 1.740 1.972
O -7.248 3.105 3.485
O 0.220 -3.680 3.870
O -3.021 -1.620 6.983
O -4.006 1.044 0.372
O -4.226 -0.053 4.960
O -2.801 -0.523 2.396
O -7.931 0.581 3.906
O 0.904 -1.156 3.450
O -2.521 -5.619 4.424
O -4.507 5.044 2.931
```

## Properties
Crystal system = triclinic
Space group = P-1, No. 2
Formation energy (no corrections) = -2188.9 meV/atom

[3]
Density functional theory data (meta-GGA SCAN) for a PBEsol-optimized structure of AlAg2Mo.

```
4
Lattice="2.885 0.000 0.000 0.000 4.606 0.000 0.000 0.000 4.784" Properties=species:S:1:pos:R:3 pbc="T T T"
Mo 0.000 2.303 2.392
Al 1.442 0.000 2.392
Ag 0.000 0.000 0.000
Ag 1.442 2.303 0.000
```

## Properties
Crystal system = orthorhombic
Space group = Pmmm, No. 47
ΔE_f = 0.25 eV/atom

[4]
Density functional theory data (meta-GGA SCAN) for a PBEsol-optimized structure of BaTb2Mo4O16.

```
46
Lattice="5.187 0.000 0.028 2.593 6.232 0.014 0.609 0.000 19.386" Properties=species:S:1:pos:R:3 pbc="T T T"
Ba 5.339 5.799 4.875
Ba 3.050 0.432 14.554
Tb 5.220 4.392 0.644
Tb 3.170 1.839 18.784
Tb 5.459 4.392 9.105
Tb 2.931 1.839 10.323
Mo 5.505 0.744 7.950
Mo 2.885 5.488 11.478
Mo 5.173 0.744 1.799
Mo 3.216 5.488 17.629
Mo 2.784 3.182 6.862
Mo 5.605 3.050 12.567
Mo 2.707 3.182 2.859
Mo 5.682 3.050 16.569
O 6.294 2.134 8.872
O 2.095 4.098 10.557
O 4.384 2.134 0.878
O 4.005 4.098 18.550
O 1.745 2.968 1.303
O 6.644 3.264 18.125
O 3.746 2.968 8.418
O 4.643 3.264 11.010
O 0.767 1.037 3.269
O 7.623 5.194 16.159
O 4.725 1.037 6.452
O 3.665 5.194 12.976
O 1.720 0.623 17.397
O 6.669 5.609 2.031
O 4.381 0.623 11.710
O 4.009 5.609 7.718
O 6.631 4.348 7.140
O 1.758 1.884 12.288
O 4.047 4.348 2.609
O 4.342 1.884 16.819
O 1.349 0.212 0.685
O 7.040 6.020 18.743
O 4.142 0.212 9.036
O 4.247 6.020 10.392
O 2.080 1.656 6.391
O 6.309 4.576 13.038
O 3.411 1.656 3.331
O 4.978 4.576 16.098
O 6.842 3.739 4.126
O 1.547 2.493 15.302
O 3.836 3.739 5.623
O 4.553 2.493 13.805
```

## Properties
Crystal system = monoclinic
Space group = C2/c, No. 15
Formation energy (no corrections) = -2759.9 meV/atom

[5]
Density functional theory data (meta-GGA SCAN) for a PBEsol-optimized structure of Mn2CdPt.

```
4
Lattice="-0.473 -1.798 2.185 1.744 0.021 2.278 -4.686 5.436 5.343" Properties=species:S:1:pos:R:3 pbc="T T T"
Cd 0.000 0.000 0.000
Mn -0.928 1.002 2.508
Mn -2.487 2.657 7.299
Pt -1.708 1.829 4.903
```

## Properties
Crystal system = trigonal
Space group = R-3m, No. 166
ΔE_f = -0.23 eV/atom

[6]
Density functional theory data (meta-GGA SCAN) for a PBEsol-optimized structure of Sr2Zn3.

```
5
Lattice="-1.462 -3.001 2.702 3.440 2.346 1.053 -5.324 6.072 3.863" Properties=species:S:1:pos:R:3 pbc="T T T"
Sr -1.930 4.824 4.313
Sr -1.417 0.593 3.305
Zn 0.000 0.000 0.000
Zn 1.481 0.934 1.839
Zn -4.827 4.483 5.780
```

## Properties
Crystal system = trigonal
Space group = P-3m1, No. 164
ΔE_f = -0.23 eV/atom